1:
PBE-GGA TiBeCl3, optimized geometry; density of states at the Fermi level = 3.903 states/eV per cell; volume = 23.4 Å³/atom; total magnetization = 0.200 μB/atom
1.0
4.888 0.000 0.000
0.000 4.888 0.000
0.000 0.000 4.888
Ti Be Cl
1 1 3
direct
0.000 0.000 0.000
0.500 0.500 0.500
0.000 0.000 0.500
0.000 0.500 0.000
0.500 0.000 0.000

=====

2:
PBE-GGA TiBeCl3, optimized geometry; density of states at the Fermi level = 5.191 states/eV per cell; volume = 18.5 Å³/atom; total magnetization = 0.564 μB/atom
1.0
4.519 0.000 0.000
0.000 4.519 0.000
0.000 0.000 4.519
Ti Be Cl
1 1 3
direct
0.000 0.000 0.000
0.500 0.500 0.500
0.000 0.500 0.500
0.500 0.000 0.500
0.500 0.500 0.000

=====

Stability summary - winner: 1; margin: 70 meV/atom.